Record 1
! PBE RbBeTe3, optimized geometry; values from VASP
&SYSTEM
  ibrav = 0, nat = 5, ntyp = 3
/
ATOMIC_SPECIES
Rb 85.47 Rb.upf
Be 9.01 Be.upf
Te 127.60 Te.upf
ATOMIC_POSITIONS angstrom
Rb 0.000 0.000 0.000
Be -5.094 3.163 0.407
Te -3.122 -1.318 0.744
Te -0.570 2.604 2.222
Te -1.402 1.877 -2.559
CELL_PARAMETERS angstrom
-2.804 3.754 -5.118
-6.245 -2.636 1.488
-1.139 5.207 4.444
! - offset from the most stable computed form (eV per atom) = 1.492

=====

Record 2
! PBE Rb2BeTe, optimized geometry; values from VASP
&SYSTEM
  ibrav = 0, nat = 8, ntyp = 3
/
ATOMIC_SPECIES
Be 9.01 Be.upf
Te 127.60 Te.upf
Rb 85.47 Rb.upf
ATOMIC_POSITIONS angstrom
Be 3.099 3.099 0.000
Be 3.099 6.197 5.452
Te 0.000 0.000 0.000
Te 6.197 3.099 5.452
Rb 4.670 1.549 2.726
Rb 1.527 4.648 2.726
Rb 4.648 4.626 8.177
Rb 7.746 7.769 8.177
CELL_PARAMETERS angstrom
6.197 0.000 0.000
0.000 6.197 0.000
3.099 3.099 10.903
! - offset from the most stable computed form (eV per atom) = 0.286

=====

Record 3
! PBE RbBe2VTe, optimized geometry; values from VASP
&SYSTEM
  ibrav = 0, nat = 5, ntyp = 4
/
ATOMIC_SPECIES
Be 9.01 Be.upf
Te 127.60 Te.upf
Rb 85.47 Rb.upf
V 50.94 V.upf
ATOMIC_POSITIONS angstrom
Be -0.235 -0.520 2.552
Be -2.561 -0.417 -0.321
Te -2.285 -3.684 1.719
Rb 0.000 0.000 0.000
V 0.511 -2.747 -0.512
CELL_PARAMETERS angstrom
-5.123 -0.834 -0.641
1.023 -5.494 -1.025
-0.470 -1.039 5.104
! - calculated total energy (eV for the cell shown) = -9.37

=====

Record 4
! PBE Rb2TiBe, optimized geometry; values from VASP
&SYSTEM
  ibrav = 0, nat = 8, ntyp = 3
/
ATOMIC_SPECIES
Be 9.01 Be.upf
Rb 85.47 Rb.upf
Ti 47.87 Ti.upf
ATOMIC_POSITIONS angstrom
Be 6.599 6.599 0.000
Be 6.599 13.198 1.217
Rb 7.590 3.300 0.609
Rb 5.609 9.899 0.609
Rb 9.899 12.208 1.826
Rb 16.498 14.189 1.826
Ti 0.000 0.000 0.000
Ti 13.198 6.599 1.217
CELL_PARAMETERS angstrom
13.198 0.000 0.000
0.000 13.198 0.000
6.599 6.599 2.435
! - E_form (eV per formula unit) = 4.62

=====

Record 5
! PBE RbTiBe3, optimized geometry; values from VASP
&SYSTEM
  ibrav = 0, nat = 5, ntyp = 3
/
ATOMIC_SPECIES
Be 9.01 Be.upf
Rb 85.47 Rb.upf
Ti 47.87 Ti.upf
ATOMIC_POSITIONS angstrom
Be -0.986 -1.644 -1.593
Be -2.135 0.035 1.286
Be -0.826 1.873 -1.422
Rb -3.947 0.263 -1.728
Ti 0.000 0.000 0.000
CELL_PARAMETERS angstrom
-1.653 3.746 -2.843
-1.972 -3.288 -3.185
-4.269 0.069 2.572
! - offset from the most stable computed form (eV per atom) = 0.000
! - E_form (eV per formula unit) = 6.94

=====

Record 6
! PBE RbTiBe2, optimized geometry; values from VASP
&SYSTEM
  ibrav = 0, nat = 8, ntyp = 3
/
ATOMIC_SPECIES
Be 9.01 Be.upf
Rb 85.47 Rb.upf
Ti 47.87 Ti.upf
ATOMIC_POSITIONS angstrom
Be 5.099 1.909 0.878
Be 2.537 5.727 0.878
Be 5.727 6.355 2.634
Be 9.545 8.917 2.634
Rb 0.000 0.000 0.000
Rb 7.636 3.818 1.756
Ti 3.818 3.818 0.000
Ti 3.818 7.636 1.756
CELL_PARAMETERS angstrom
7.636 0.000 0.000
0.000 7.636 0.000
3.818 3.818 3.512
! - offset from the most stable computed form (eV per atom) = 0.000
! - E_form (eV per formula unit) = 5.67

=====

Record 7
! PBE RbTiBe3, optimized geometry; values from VASP
&SYSTEM
  ibrav = 0, nat = 5, ntyp = 3
/
ATOMIC_SPECIES
Be 9.01 Be.upf
Rb 85.47 Rb.upf
Ti 47.87 Ti.upf
ATOMIC_POSITIONS angstrom
Be 2.163 -0.477 0.675
Be -0.698 -0.043 2.207
Be -0.442 -2.265 -0.184
Rb 0.000 0.000 0.000
Ti 1.022 -2.785 2.698
CELL_PARAMETERS angstrom
-0.885 -4.530 -0.368
4.326 -0.954 1.350
-1.396 -0.086 4.414
! - offset from the most stable computed form (eV per atom) = 1.112
! - E_form (eV per formula unit) = 12.50

=====

Record 8
! PBE RbTiBe2, optimized geometry; values from VASP
&SYSTEM
  ibrav = 0, nat = 4, ntyp = 3
/
ATOMIC_SPECIES
Be 9.01 Be.upf
Rb 85.47 Rb.upf
Ti 47.87 Ti.upf
ATOMIC_POSITIONS angstrom
Be 1.717 1.717 1.717
Be 5.150 5.150 5.150
Rb 3.433 3.433 3.433
Ti 0.000 0.000 0.000
CELL_PARAMETERS angstrom
0.000 3.433 3.433
3.433 0.000 3.433
3.433 3.433 0.000
! - offset from the most stable computed form (eV per atom) = 0.014
! - E_form (eV per formula unit) = 5.73

=====

Record 9
! PBE RbY2TiBe, optimized geometry; values from VASP
&SYSTEM
  ibrav = 0, nat = 5, ntyp = 4
/
ATOMIC_SPECIES
Y 88.91 Y.upf
Be 9.01 Be.upf
Rb 85.47 Rb.upf
Ti 47.87 Ti.upf
ATOMIC_POSITIONS angstrom
Y -0.357 2.302 1.344
Y -1.676 -1.248 1.693
Be 0.251 0.378 4.799
Rb 2.284 -0.675 1.763
Ti 0.000 0.000 0.000
CELL_PARAMETERS angstrom
-3.351 -2.497 3.386
4.567 -1.350 3.525
-0.714 4.603 2.688
! - E_form (eV per formula unit) = 6.71

=====

Record 10
! PBE RbBeTl, optimized geometry; values from VASP
&SYSTEM
  ibrav = 0, nat = 6, ntyp = 3
/
ATOMIC_SPECIES
Be 9.01 Be.upf
Tl 204.38 Tl.upf
Rb 85.47 Rb.upf
ATOMIC_POSITIONS angstrom
Be 3.628 4.811 3.863
Be 5.766 4.814 4.034
Tl 4.876 2.679 2.689
Tl 2.737 2.675 5.209
Rb 2.428 5.302 7.714
Rb 2.708 1.015 0.184
CELL_PARAMETERS angstrom
4.278 0.004 -0.001
1.856 4.290 -0.002
0.543 2.061 12.157
! - offset from the most stable computed form (eV per atom) = 0.029
! - E_form (eV per formula unit) = 0.83

=====

Record 11
! PBE RbBeTl3, optimized geometry; values from VASP
&SYSTEM
  ibrav = 0, nat = 5, ntyp = 3
/
ATOMIC_SPECIES
Be 9.01 Be.upf
Tl 204.38 Tl.upf
Rb 85.47 Rb.upf
ATOMIC_POSITIONS angstrom
Be -1.506 -5.486 -0.533
Tl 0.265 -1.788 -2.759
Tl 1.265 -2.500 1.742
Tl -3.035 -1.198 0.485
Rb 0.000 0.000 0.000
CELL_PARAMETERS angstrom
-6.071 -2.395 0.970
0.530 -3.577 -5.519
2.529 -5.000 3.483
! - offset from the most stable computed form (eV per atom) = 1.114
! - E_form (eV per formula unit) = 6.66

=====

Record 12
! PBE RbBe2Tl2, optimized geometry; values from VASP
&SYSTEM
  ibrav = 0, nat = 5, ntyp = 3
/
ATOMIC_SPECIES
Be 9.01 Be.upf
Tl 204.38 Tl.upf
Rb 85.47 Rb.upf
ATOMIC_POSITIONS angstrom
Be 4.563 2.282 3.111
Be 2.282 4.563 3.111
Tl 2.282 2.282 1.955
Tl 4.563 4.563 4.267
Rb 0.000 0.000 0.000
CELL_PARAMETERS angstrom
4.563 0.000 0.000
0.000 4.563 0.000
2.282 2.282 6.222
! - offset from the most stable computed form (eV per atom) = 0.000
! - E_form (eV per formula unit) = 2.29